[1]
Material: TmZrScTc
Method: DFT, PBE-GGA
State: optimized geometry

calculated formation energy = 0.007 eV per atom

a b c (Å): 4.9246 4.9246 4.9246
angles (deg): 60.00 60.00 60.00
Element x y z (fractional)
Sc  0.0000  0.0000  0.0000
Tm  0.2500  0.2500  0.2500
Tc  0.5000  0.5000  0.5000
Zr  0.7500  0.7500  0.7500


[2]
Material: PuN2O3
Method: DFT, PBE-GGA
State: optimized geometry

E = -7.5052 eV/atom

a b c (Å): 4.1346 6.8743 11.4613
angles (deg): 121.49 100.39 90.00
Last column: magnetic moment on the atom in μB.
Element x y z (fractional)
Pu  0.0000  0.2500  0.0000  2.50
Pu  0.0000  0.7500  0.0000  2.50
N  0.3199  0.5000  0.6447  1.95
N  0.3248  0.0000  0.6447  1.95
N  0.6752  0.0000  0.3553  1.95
N  0.6801  0.5000  0.3553  1.95
O  0.5000  0.7500  0.0000  -0.17
O  0.5000  0.2500  0.0000  -0.17
O  0.9350  0.9299  0.8699  -0.13
O  0.0650  0.5701  0.1301  -0.13
O  0.9350  0.4299  0.8699  -0.13
O  0.0650  0.0701  0.1301  -0.13


no.,M_tot (μB/f.u.),DOS(E_F) (states/eV per cell)
1,0.000,5.2
2,8.000,5.8